i) Te2PF: optimized geometry, GGA-PBE.

a = 6.782 Å, b = 6.782 Å, c = 6.782 Å
α = 90.00°, β = 90.00°, γ = 90.00°
Space group Fm-3m (No. 225)
Symmetry-distinct sites (fractional):
Te1 0.250 0.250 0.250 x8
P1 0.000 0.000 0.000 x4
F1 0.000 0.000 0.500 x4

Output
The density of states at the Fermi level comes out at 6.8 states/eV per cell. Its crystal system is cubic.

ii) Te2PF: optimized geometry, GGA-PBE.

a = 3.6617 Å, b = 3.6617 Å, c = 24.6878 Å
α = 90.00°, β = 90.00°, γ = 120.00°
Space group R-3m (No. 166, hexagonal axes)
Symmetry-distinct sites (fractional):
Te1 0.0000 0.0000 0.0940 x6
P1 0.0000 0.0000 0.5000 x3
F1 0.0000 0.0000 0.0000 x3

Output
The density of states at the Fermi level comes out at 7.1 states/eV per cell. Its crystal system is trigonal.

Decreasing stability: ii), i)

i) TeP3F: optimized geometry, GGA-PBE.

a = 4.496 Å, b = 4.496 Å, c = 4.496 Å
α = 90.00°, β = 90.00°, γ = 90.00°
Space group Pm-3m (No. 221)
Symmetry-distinct sites (fractional):
Te1 0.000 0.000 0.000 x1
P1 0.000 0.500 0.500 x3
F1 0.500 0.500 0.500 x1

Output
The density of states at the Fermi level comes out at 2.8 states/eV per cell. Its crystal system is cubic.

ii) TeP3F: optimized geometry, GGA-PBE.

a = 5.101 Å, b = 5.101 Å, c = 5.101 Å
α = 90.00°, β = 90.00°, γ = 90.00°
Space group Pm-3m (No. 221)
Symmetry-distinct sites (fractional):
Te1 0.000 0.000 0.000 x1
P1 0.000 0.000 0.500 x3
F1 0.500 0.500 0.500 x1

Output
The density of states at the Fermi level comes out at 3.0 states/eV per cell. Its crystal system is cubic.

Decreasing stability: i), ii)

i) TeP2F: optimized geometry, GGA-PBE.

a = 8.520 Å, b = 8.520 Å, c = 4.437 Å
α = 90.00°, β = 90.00°, γ = 90.00°
Space group I-42d (No. 122)
Symmetry-distinct sites (fractional):
Te1 0.000 0.000 0.000 x4
P1 0.204 0.250 0.125 x8
F1 0.000 0.000 0.500 x4

Output
The density of states at the Fermi level comes out at 10.7 states/eV per cell. Its crystal system is tetragonal.

ii) TeP2F: optimized geometry, GGA-PBE.

a = 6.469 Å, b = 6.469 Å, c = 6.469 Å
α = 90.00°, β = 90.00°, γ = 90.00°
Space group Fm-3m (No. 225)
Symmetry-distinct sites (fractional):
Te1 0.000 0.000 0.000 x4
P1 0.250 0.250 0.250 x8
F1 0.000 0.000 0.500 x4

Output
The density of states at the Fermi level comes out at 9.9 states/eV per cell. Its crystal system is cubic.

Decreasing stability: i), ii)